(1)
A plane-wave DFT calculation with GGA-PBE was carried out for an optimized crystal structure of HfPt2S.

E_form (uncorrected) = -125 kJ/mol of formula units
spin magnetization = 0.00 Bohr magnetons per cell
calculated density = 10.932 g cm⁻³

```
data_HfPt2S
_chemical_formula_sum 'Hf4 Pt8 S4'
_cell_length_a 5.639
_cell_length_b 5.639
_cell_length_c 11.477
_cell_angle_alpha 90.00
_cell_angle_beta 90.00
_cell_angle_gamma 90.00
_symmetry_space_group_name_H-M 'I -4 2 d'
_symmetry_Int_Tables_number 122
_symmetry_space_group_name_Hall 'I -4 2bw'
loop_
_atom_site_label
_atom_site_fract_x
_atom_site_fract_y
_atom_site_fract_z
Hf1 0.000 0.000 0.000
Pt1 0.208 0.250 0.625
S1 0.000 0.000 0.500
```


(2)
A plane-wave DFT calculation with GGA-PBE was carried out for an optimized crystal structure of GaAs3S.

E_form (uncorrected) = 465 kJ/mol of formula units
spin magnetization = 0.00 Bohr magnetons per cell
energy above the lowest structure with this stoichiometry = 1.46 eV/f.u.
calculated density = 4.633 g cm⁻³

```
data_GaAs3S
_chemical_formula_sum 'Ga1 As3 S1'
_cell_length_a 4.892
_cell_length_b 4.892
_cell_length_c 4.892
_cell_angle_alpha 90.00
_cell_angle_beta 90.00
_cell_angle_gamma 90.00
_symmetry_space_group_name_H-M 'P m -3 m'
_symmetry_Int_Tables_number 221
_symmetry_space_group_name_Hall '-P 4 2 3'
loop_
_atom_site_label
_atom_site_fract_x
_atom_site_fract_y
_atom_site_fract_z
Ga1 0.000 0.000 0.000
As1 0.000 0.000 0.500
S1 0.500 0.500 0.500
```


Repeat the second record exactly.
A plane-wave DFT calculation with GGA-PBE was carried out for an optimized crystal structure of GaAs3S.

E_form (uncorrected) = 465 kJ/mol of formula units
spin magnetization = 0.00 Bohr magnetons per cell
energy above the lowest structure with this stoichiometry = 1.46 eV/f.u.
calculated density = 4.633 g cm⁻³

```
data_GaAs3S
_chemical_formula_sum 'Ga1 As3 S1'
_cell_length_a 4.892
_cell_length_b 4.892
_cell_length_c 4.892
_cell_angle_alpha 90.00
_cell_angle_beta 90.00
_cell_angle_gamma 90.00
_symmetry_space_group_name_H-M 'P m -3 m'
_symmetry_Int_Tables_number 221
_symmetry_space_group_name_Hall '-P 4 2 3'
loop_
_atom_site_label
_atom_site_fract_x
_atom_site_fract_y
_atom_site_fract_z
Ga1 0.000 0.000 0.000
As1 0.000 0.000 0.500
S1 0.500 0.500 0.500
```


Please write out number 2 again, unchanged.
A plane-wave DFT calculation with GGA-PBE was carried out for an optimized crystal structure of GaAs3S.

E_form (uncorrected) = 465 kJ/mol of formula units
spin magnetization = 0.00 Bohr magnetons per cell
energy above the lowest structure with this stoichiometry = 1.46 eV/f.u.
calculated density = 4.633 g cm⁻³

```
data_GaAs3S
_chemical_formula_sum 'Ga1 As3 S1'
_cell_length_a 4.892
_cell_length_b 4.892
_cell_length_c 4.892
_cell_angle_alpha 90.00
_cell_angle_beta 90.00
_cell_angle_gamma 90.00
_symmetry_space_group_name_H-M 'P m -3 m'
_symmetry_Int_Tables_number 221
_symmetry_space_group_name_Hall '-P 4 2 3'
loop_
_atom_site_label
_atom_site_fract_x
_atom_site_fract_y
_atom_site_fract_z
Ga1 0.000 0.000 0.000
As1 0.000 0.000 0.500
S1 0.500 0.500 0.500
```